Record 1
# YGeOs2

A relaxed YGeOs2 crystal (PBE, the Open Quantum Materials Database).

POSCAR file:
```
YGeOs2
1.0
0.000 3.266 3.266
3.266 0.000 3.266
3.266 3.266 0.000
Os Ge Y
2 1 1
Direct
0.000 0.000 0.000
0.750 0.750 0.750
0.500 0.500 0.500
0.250 0.250 0.250
```

DFT total energy in Ry/atom: -0.58823
Space group: F-43m (216)
Spin magnetization in Bohr magnetons per cell: 0.0



Record 2
# Y2Ge5Os3

A relaxed Y2Ge5Os3 crystal (PBE, the Open Quantum Materials Database).

POSCAR file:
```
Y2Ge5Os3
1.0
-4.130 -6.538 3.489
-1.550 7.802 -2.950
1.228 -5.172 -6.611
Os Y Ge
6 4 10
Direct
0.250 0.250 0.000
0.852 0.595 0.447
0.352 0.905 0.256
0.750 0.750 0.000
0.648 0.095 0.744
0.148 0.405 0.553
0.859 0.270 0.128
0.641 0.770 0.411
0.141 0.730 0.872
0.359 0.230 0.589
0.958 0.750 0.208
0.914 0.825 0.739
0.042 0.250 0.792
0.750 0.250 0.500
0.542 0.750 0.792
0.414 0.675 0.089
0.086 0.175 0.261
0.586 0.325 0.911
0.250 0.750 0.500
0.458 0.250 0.208
```

DFT total energy in Ry/atom: -0.54540
Space group: Ibam (72)
Spin magnetization in Bohr magnetons per cell: 0.0



Record 3
# Y5Ge10Os4

A relaxed Y5Ge10Os4 crystal (PBE, the Open Quantum Materials Database).

POSCAR file:
```
Y5Ge10Os4
1.0
-7.863 -9.353 -4.707
9.172 -3.313 -8.739
1.667 -2.820 2.818
Ge Y Os
20 10 8
Direct
0.992 0.842 0.500
0.836 0.198 0.000
0.008 0.158 0.500
0.698 0.336 0.000
0.164 0.802 0.000
0.932 0.568 0.000
0.508 0.342 0.500
0.302 0.664 0.000
0.336 0.302 0.000
0.658 0.508 0.500
0.492 0.658 0.500
0.664 0.698 0.000
0.158 0.992 0.500
0.342 0.492 0.500
0.198 0.164 0.000
0.432 0.932 0.000
0.068 0.432 0.000
0.568 0.068 0.000
0.802 0.836 0.000
0.842 0.008 0.500
0.117 0.617 0.500
0.383 0.117 0.500
0.672 0.172 0.500
0.328 0.828 0.500
0.828 0.672 0.500
0.500 0.500 0.000
0.883 0.383 0.500
0.617 0.883 0.500
0.172 0.328 0.500
0.000 0.000 0.000
0.982 0.753 0.000
0.518 0.253 0.000
0.747 0.518 0.000
0.253 0.482 0.000
0.482 0.747 0.000
0.247 0.982 0.000
0.753 0.018 0.000
0.018 0.247 0.000
```

DFT total energy in Ry/atom: -0.51819
Space group: P4/mbm (127)
Spin magnetization in Bohr magnetons per cell: 0.0



Q: What is the spin magnetization in the third record?
A: 0.0 Bohr magnetons per cell



Q: Look up the spin magnetization of the second one.
A: 0.0 Bohr magnetons per cell